Compound: InRePb2
Source: the Alexandria database
Functional: PBE-GGA
Structure: relaxed

abc: 3.671 5.164 10.747
angles: 90.00 90.00 90.00
Element x y z (fractional)
1 In 0.000 0.000 0.000
2 In 0.500 0.500 0.000
3 Re 0.000 0.000 0.500
4 Re 0.500 0.500 0.500
5 Pb 0.000 0.500 0.296
6 Pb 0.000 0.500 0.704
7 Pb 0.500 0.000 0.296
8 Pb 0.500 0.000 0.704

Electronic total energy ... -4.939 eV/atom
Space-group type ... Cmmm
Energy of formation from the pure elements ... 0.712 eV/atom